A relaxed structure of Mn2AlTlSn. Source: the Alexandria database, functional PBE.

Lattice parameters (Å, degrees): 5.417 6.081 5.417 90.00 90.00 90.00
Last column: magnetic moment on the atom in μB.
Sites, in units of the cell vectors:
Tl1 0.500 0.500 0.500  -0.07
Mn1 0.000 0.000 0.500  4.16
Mn2 0.500 0.000 0.000  3.97
Sn1 0.000 0.000 0.000  -0.13
Al1 0.000 0.500 0.000  -0.01

Calculated values
energy	-4.680	eV per atom
volume	178.4	Å³ per cell
space-group type	P4/mmm (123)

=====

A relaxed structure of SrMn2Al. Source: the Alexandria database, functional PBE.

Lattice parameters (Å, degrees): 3.079 5.514 6.038 53.22 90.00 90.00
Last column: magnetic moment on the atom in μB.
Sites, in units of the cell vectors:
Sr1 0.500 0.500 0.500  -0.08
Mn1 0.000 0.000 0.000  3.56
Mn2 0.500 0.500 0.000  3.53
Al1 0.000 0.000 0.500  -0.06

Calculated values
energy	-5.271	eV per atom
volume	82.1	Å³ per cell
space-group type	P2/m (10)

=====

A relaxed structure of Sr2MnAl. Source: the Alexandria database, functional PBE.

Lattice parameters (Å, degrees): 5.373 5.373 5.373 120.02 120.02 89.97
Last column: magnetic moment on the atom in μB.
Sites, in units of the cell vectors:
Sr1 0.000 0.000 0.000  -0.01
Sr2 0.250 0.750 0.500  -0.05
Mn1 0.750 0.250 0.500  3.91
Al1 0.500 0.500 0.000  -0.02

Calculated values
energy	-3.730	eV per atom
volume	109.7	Å³ per cell
space-group type	F-43m (216)

=====

A relaxed structure of Sr2MnAl. Source: the Alexandria database, functional PBE.

Lattice parameters (Å, degrees): 5.453 5.453 4.127 90.00 90.00 90.00
Last column: magnetic moment on the atom in μB.
Sites, in units of the cell vectors:
Sr1 0.000 0.000 0.000  -0.01
Sr2 0.500 0.500 0.000  -0.01
Mn1 0.000 0.500 0.500  4.10
Al1 0.500 0.000 0.500  -0.01

Calculated values
energy	-3.793	eV per atom
volume	122.7	Å³ per cell
space-group type	P4/mmm (123)

=====

A relaxed structure of SrMn2Al2. Source: the Alexandria database, functional PBE.

Lattice parameters (Å, degrees): 7.952 7.952 2.832 90.00 90.00 90.00
Last column: magnetic moment on the atom in μB.
Sites, in units of the cell vectors:
Sr1 0.000 0.000 0.000  0.07
Sr2 0.500 0.500 0.000  0.07
Mn1 0.378 0.878 0.000  -2.92
Mn2 0.878 0.622 0.000  -2.93
Mn3 0.622 0.122 0.000  -2.92
Mn4 0.122 0.378 0.000  -2.93
Al1 0.162 0.662 0.500  0.07
Al2 0.662 0.838 0.500  0.07
Al3 0.838 0.338 0.500  0.07
Al4 0.338 0.162 0.500  0.07

Calculated values
energy	-5.417	eV per atom
volume	179.1	Å³ per cell
space-group type	P4/mbm (127)

=====

A relaxed structure of SrMn2Al. Source: the Alexandria database, functional PBE.

Lattice parameters (Å, degrees): 5.797 5.797 3.013 77.48 77.48 114.69
Last column: magnetic moment on the atom in μB.
Sites, in units of the cell vectors:
Sr1 0.500 0.000 0.500  -0.07
Mn1 0.000 0.000 0.000  3.66
Mn2 0.500 0.500 0.000  3.66
Al1 0.000 0.500 0.500  -0.05

Calculated values
energy	-5.259	eV per atom
volume	84.2	Å³ per cell
space-group type	C2/m (12)

=====

A relaxed structure of SrMn2Al. Source: the Alexandria database, functional PBE.

Lattice parameters (Å, degrees): 4.979 4.979 4.979 60.00 60.00 60.00
Last column: magnetic moment on the atom in μB.
Sites, in units of the cell vectors:
Sr1 0.750 0.750 0.750  -0.02
Mn1 0.000 0.000 0.000  3.98
Mn2 0.250 0.250 0.250  3.85
Al1 0.500 0.500 0.500  -0.04

Calculated values
energy	-5.404	eV per atom
volume	87.3	Å³ per cell
space-group type	F-43m (216)

=====

A relaxed structure of SrMn2Al. Source: the Alexandria database, functional PBE.

Lattice parameters (Å, degrees): 4.551 4.551 9.528 76.18 76.18 90.00
Last column: magnetic moment on the atom in μB.
Sites, in units of the cell vectors:
Sr1 0.000 0.000 0.000  -0.06
Sr2 0.750 0.250 0.500  -0.06
Mn1 0.375 0.125 0.250  1.89
Mn2 0.375 0.625 0.250  1.87
Mn3 0.375 0.625 0.750  2.03
Mn4 0.875 0.625 0.750  2.01
Al1 0.500 0.500 0.000  -0.08
Al2 0.250 0.750 0.500  -0.08

Calculated values
energy	-5.347	eV per atom
volume	185.7	Å³ per cell
space-group type	I4_1/amd (141)